Entry from the Alexandria database: a relaxed KMgHSe2 crystal (PBE).

a = 7.6932 Å, b = 7.6932 Å, c = 5.3307 Å
α = 90.00°, β = 90.00°, γ = 128.61°
Sites, in units of the cell vectors:
K1 0.2500 0.7500 0.7515
K2 0.7500 0.2500 0.2485
Mg1 0.2500 0.2500 0.0000
Mg2 0.7500 0.7500 0.0000
H1 0.0000 0.0000 0.5000
H2 0.5000 0.5000 0.5000
Se1 0.0977 0.9023 0.2737
Se2 0.4023 0.5977 0.2737
Se3 0.5977 0.4023 0.7263
Se4 0.9023 0.0977 0.7263

Values from the calculation:
Final energy   -0.2542 Ry/atom
DOS at the Fermi energy   0.0 states/eV/f.u.
V   24.653 A^3/atom
Density   3.0 g/cm3